## TeRuSe2 (PBEsol)

Data for TeRuSe2 after structural relaxation.

```
4
Lattice="-2.523 2.523 2.903 2.523 -2.523 2.903 2.523 2.523 -2.903" Properties=species:S:1:pos:R:3 pbc="T T T"
Te 0.000 0.000 0.000
Ru 0.000 2.523 1.451
Se 2.523 0.000 1.451
Se 0.000 0.000 2.903
```

Results
crystal system = tetragonal
formation energy without anion corrections = 506.0 meV per atom
space group = No. 119

## TlCd3 (PBEsol)

Data for TlCd3 after structural relaxation.

```
4
Lattice="3.215 0.000 0.000 0.000 3.215 0.000 0.000 0.000 8.822" Properties=species:S:1:pos:R:3 pbc="T T T"
Tl 0.000 0.000 0.000
Cd 0.000 0.000 4.411
Cd 1.607 1.607 2.401
Cd 1.607 1.607 6.421
```

Results
crystal system = tetragonal
space group = No. 123

For the records above, the corresponding mass density values read 8688; 9863 kg/m³.
For the records above, the corresponding calculated total energy values read -4.844; -1.517 eV/atom.
For the records above, the corresponding volume values read 18.5; 22.8 Å³ per atom.